TaAlReMo: relaxed, PBE.

As for the size of the total moment: 0.031 μB per cell.

Cell and atoms, written as CIF:
```
data_TaAlReMo
_cell_length_a 6.321
_cell_length_b 6.321
_cell_length_c 6.321
_cell_angle_alpha 90.00
_cell_angle_beta 90.00
_cell_angle_gamma 90.00
_space_group_name_H-M_alt 'F -4 3 m'
_space_group_IT_number 216
_space_group_name_Hall 'F -4 2 3'
loop_
_atom_site_label
_atom_site_fract_x
_atom_site_fract_y
_atom_site_fract_z
_atom_site_occupancy
Ta1 0.000 0.000 0.000 1
Al1 0.000 0.000 0.500 1
Re1 0.250 0.250 0.750 1
Mo1 0.250 0.250 0.250 1
```

CsLiIn11: relaxed, PBE.

As for the size of the total moment: 0.000 μB per cell.

Cell and atoms, written as CIF:
```
data_CsLiIn11
_cell_length_a 6.262
_cell_length_b 15.294
_cell_length_c 8.157
_cell_angle_alpha 90.00
_cell_angle_beta 108.88
_cell_angle_gamma 90.00
_space_group_name_H-M_alt 'C 1 2/m 1'
_space_group_IT_number 12
loop_
_space_group_symop_operation_xyz
'x,y,z'
'-x,-y,-z'
'-x,y,-z'
'x,-y,z'
'x+1/2,y+1/2,z'
'-x+1/2,-y+1/2,-z'
'-x+1/2,y+1/2,-z'
'x+1/2,-y+1/2,z'
loop_
_atom_site_label
_atom_site_fract_x
_atom_site_fract_y
_atom_site_fract_z
_atom_site_occupancy
Cs1 0.000 0.000 0.000 1
Li1 0.000 0.500 0.500 1
In1 0.000 0.000 0.500 1
In2 0.102 0.392 0.222 1
In3 0.196 0.175 0.366 1
In4 0.250 0.250 0.000 1
```

no.,energy of formation (eV per atom),VASP energy (eV/atom)
1,-0.14,-9.8579
2,-0.06,-2.5903